# 1
Below is a relaxed structure of Rb2NaNi3H12, with properties calculated at the PBE level.

Geometry as POSCAR:
```
Rb2NaNi3H12
1.0
6.5772 0.2208 0.1566
3.4402 5.6101 0.1566
3.4402 2.0025 5.2429
Rb Na Ni H
2 1 3 12
direct
0.6146 0.6146 0.6146
0.3854 0.3854 0.3854
0.0000 0.0000 0.0000
0.5000 0.0000 0.0000
0.0000 0.5000 0.0000
0.0000 0.0000 0.5000
0.2938 0.2938 0.9113
0.9038 0.9038 0.4162
0.4162 0.9038 0.9038
0.9113 0.2938 0.2938
0.9038 0.4162 0.9038
0.2938 0.9113 0.2938
0.7062 0.7062 0.0887
0.0962 0.0962 0.5838
0.5838 0.0962 0.0962
0.0887 0.7062 0.7062
0.0962 0.5838 0.0962
0.7062 0.0887 0.7062
```

Energy ... -0.1273 hartree per atom
Symmetry ... R-3m (166)
Crystal system ... trigonal

---

# 2
Below is a relaxed structure of K3B2P4, with properties calculated at the PBE level.

Geometry as POSCAR:
```
K3B2P4
1.0
3.7205 0.0000 0.0000
-1.8603 7.0539 0.4166
0.0000 -2.1964 6.8926
K B P
3 2 4
direct
0.5975 0.1951 0.6594
0.0000 0.0000 0.0000
0.4025 0.8049 0.3406
0.7271 0.4543 0.3449
0.2729 0.5457 0.6551
0.7171 0.4342 0.0588
0.2829 0.5658 0.9412
0.8294 0.6588 0.6008
0.1706 0.3412 0.3992
```

Energy ... -0.1577 hartree per atom
Symmetry ... C2/m (12)
Crystal system ... monoclinic
Formation enthalpy at 0 K ... -0.33 eV/f.u.

---

# 3
Below is a relaxed structure of Tc5Os, with properties calculated at the PBE level.

Geometry as POSCAR:
```
Tc5Os
1.0
6.1457 -0.0064 0.0000
-4.9213 3.6810 0.0000
0.0000 0.0000 3.8701
Os Tc
1 5
direct
0.9722 0.0278 0.0000
0.8065 0.1935 0.5000
0.6370 0.3630 0.0000
0.4722 0.5278 0.5000
0.3074 0.6926 0.0000
0.1379 0.8621 0.5000
```

Energy ... -0.3839 hartree per atom
Symmetry ... Cmmm (65)
Crystal system ... orthorhombic
Formation enthalpy at 0 K ... 0.38 eV/f.u.

---

# 4
Below is a relaxed structure of NiBTe3, with properties calculated at the PBE level.

Geometry as POSCAR:
```
NiBTe3
1.0
4.7578 0.0000 0.0000
0.0000 4.7578 0.0000
0.0000 0.0000 4.7578
Ni B Te
1 1 3
direct
0.5000 0.5000 0.5000
0.0000 0.0000 0.0000
0.0000 0.5000 0.0000
0.0000 0.0000 0.5000
0.5000 0.0000 0.0000
```

Energy ... -0.1229 hartree per atom
Symmetry ... Pm-3m (221)
Crystal system ... cubic

---

# 5
Below is a relaxed structure of CaHf3Ag, with properties calculated at the PBE level.

Geometry as POSCAR:
```
CaHf3Ag
1.0
-0.4486 -5.1668 -0.4758
1.0651 -0.5591 5.0672
-5.0782 0.3391 1.1049
Ca Hf Ag
1 3 1
direct
0.5000 0.5000 0.5000
0.0000 0.5000 0.0000
0.0000 0.0000 0.5000
0.5000 0.0000 0.0000
0.0000 0.0000 0.0000
```

Energy ... -0.2221 hartree per atom
Symmetry ... Pm-3m (221)
Crystal system ... cubic
Formation enthalpy at 0 K ... 4.50 eV/f.u.

---

# 6
Below is a relaxed structure of NdIBr3, with properties calculated at the PBE level.

Geometry as POSCAR:
```
NdIBr3
1.0
-3.2077 -6.9292 -2.0601
6.9430 -0.4376 -3.7617
1.1901 1.4648 7.6801
Nd I Br
2 2 6
direct
0.3711 0.0276 0.8434
0.1842 0.5276 0.1566
0.5521 0.8459 0.2062
0.6397 0.3459 0.7938
0.0712 0.2175 0.7349
0.0712 0.8362 0.3537
0.4825 0.7175 0.6463
0.8807 0.2310 0.1497
0.4825 0.3362 0.2651
0.0814 0.7310 0.8503
```

Energy ... -0.1309 hartree per atom
Symmetry ... Ima2 (46)
Crystal system ... orthorhombic

---

# 7
Below is a relaxed structure of Ag2IrPd, with properties calculated at the PBE level.

Geometry as POSCAR:
```
Ag2IrPd
1.0
-5.0162 4.0521 -3.5345
2.1054 -2.9675 -6.3902
-3.2622 -1.4191 -4.6468
Ir Pd Ag
2 2 4
direct
0.0000 0.0000 0.0000
0.7500 0.2500 0.5000
0.5000 0.5000 0.0000
0.2500 0.7500 0.5000
0.6277 0.1250 0.2500
0.1223 0.6250 0.2500
0.3750 0.3723 0.7500
0.8750 0.8777 0.7500
```

Energy ... -0.1529 hartree per atom
Symmetry ... I-42d (122)
Crystal system ... tetragonal
Formation enthalpy at 0 K ... 3.11 eV/f.u.

---

# 8
Below is a relaxed structure of Cu2Ni5Mo, with properties calculated at the PBE level.

Geometry as POSCAR:
```
Cu2Ni5Mo
1.0
-1.0583 -2.9945 -1.7515
1.4460 1.2838 -3.0685
5.9836 -2.2666 4.0150
Cu Ni Mo
2 5 1
direct
0.7476 0.7476 0.4953
0.2524 0.2524 0.5047
0.5000 0.5000 0.0000
0.3760 0.8760 0.7521
0.8760 0.3760 0.7521
0.6240 0.1240 0.2479
0.1240 0.6240 0.2479
0.0000 0.0000 0.0000
```

Energy ... -0.2213 hartree per atom
Symmetry ... I4/mmm (139)
Crystal system ... tetragonal
Formation enthalpy at 0 K ... -0.25 eV/f.u.